(1)
An optimized crystal structure of NbV6Re2. Source: Alexandria via LeMat-Bulk, functional PBE-GGA.

Output
The value obtained for the density of states at the Fermi level is 1.12 states/eV per atom. Its uncorrected energy is -91.44 eV for the cell shown. The value obtained for the volume is 14.29 Å³/atom.

Structure (CIF):
```
data_NbV6Re2
_chemical_formula_sum 'Nb1 V6 Re2'
_symmetry_space_group_name_H-M 'P -1'
_symmetry_Int_Tables_number 2
_symmetry_space_group_name_Hall '-P 1'
_cell_length_a 3.0402
_cell_length_b 5.0678
_cell_length_c 9.0825
_cell_angle_alpha 99.18
_cell_angle_beta 99.39
_cell_angle_gamma 107.21
loop_
_atom_site_label
_atom_site_fract_x
_atom_site_fract_y
_atom_site_fract_z
Nb1 0.0000 0.0000 0.0000
V1 0.1094 0.7738 0.4450
V2 0.2141 0.5461 0.8824
V3 0.3329 0.3289 0.3372
Re1 0.4421 0.1151 0.7682
```

(2)
An optimized crystal structure of Pm2NdSm2Dy. Source: Alexandria via LeMat-Bulk, functional PBE-GGA.

Output
The value obtained for the density of states at the Fermi level is 1.68 states/eV per atom. Its uncorrected energy is -53.61 eV for the cell shown. The value obtained for the volume is 34.48 Å³/atom.

Structure (CIF):
```
data_Pm2NdSm2Dy
_chemical_formula_sum 'Pm4 Nd2 Sm4 Dy2'
_symmetry_space_group_name_H-M 'P n n m'
_symmetry_Int_Tables_number 58
_symmetry_space_group_name_Hall '-P 2 2n'
_cell_length_a 6.6979
_cell_length_b 17.9671
_cell_length_c 3.4386
_cell_angle_alpha 90.00
_cell_angle_beta 90.00
_cell_angle_gamma 90.00
loop_
_atom_site_label
_atom_site_fract_x
_atom_site_fract_y
_atom_site_fract_z
Pm1 0.2250 0.1493 0.0000
Nd1 0.0000 0.5000 0.5000
Sm1 0.2300 0.3181 0.5000
Dy1 0.0000 0.0000 0.5000
```

(3)
An optimized crystal structure of YRe2RhN. Source: Alexandria via LeMat-Bulk, functional PBE-GGA.

Output
The value obtained for the density of states at the Fermi level is 2.56 states/eV per atom. Its uncorrected energy is -27.74 eV for the cell shown. The value obtained for the volume is 23.85 Å³/atom. The formation energy (no corrections) is 3858.7 meV per atom.

Structure (CIF):
```
data_YRe2RhN
_chemical_formula_sum 'Y1 Re2 Rh1 N1'
_symmetry_space_group_name_H-M 'P 4/m m m'
_symmetry_Int_Tables_number 123
_symmetry_space_group_name_Hall '-P 4 2'
_cell_length_a 4.9481
_cell_length_b 4.9481
_cell_length_c 4.8697
_cell_angle_alpha 90.00
_cell_angle_beta 90.00
_cell_angle_gamma 90.00
loop_
_atom_site_label
_atom_site_fract_x
_atom_site_fract_y
_atom_site_fract_z
Y1 0.0000 0.0000 0.0000
Re1 0.0000 0.5000 0.0000
Rh1 0.0000 0.0000 0.5000
N1 0.5000 0.5000 0.5000
```

(4)
An optimized crystal structure of PmMgS2. Source: Alexandria via LeMat-Bulk, functional PBE-GGA.

Output
The value obtained for the density of states at the Fermi level is 0.32 states/eV per atom. Its uncorrected energy is -63.35 eV for the cell shown. The value obtained for the volume is 20.62 Å³/atom. The formation energy (no corrections) is -1628.8 meV per atom.

Structure (CIF):
```
data_PmMgS2
_chemical_formula_sum 'Pm3 Mg3 S6'
_symmetry_space_group_name_H-M 'R -3 m'
_symmetry_Int_Tables_number 166
_symmetry_space_group_name_Hall '-R 3 2"'
_cell_length_a 3.8018
_cell_length_b 3.8018
_cell_length_c 19.7701
_cell_angle_alpha 90.00
_cell_angle_beta 90.00
_cell_angle_gamma 120.00
loop_
_atom_site_label
_atom_site_fract_x
_atom_site_fract_y
_atom_site_fract_z
Pm1 0.0000 0.0000 0.0000
Mg1 0.0000 0.0000 0.5000
S1 0.0000 0.0000 0.2400
```

(5)
An optimized crystal structure of Ba4HBr2N. Source: Alexandria via LeMat-Bulk, functional PBE-GGA.

Output
The value obtained for the density of states at the Fermi level is 0.49 states/eV per atom. Its uncorrected energy is -30.88 eV for the cell shown. The value obtained for the volume is 31.05 Å³/atom.

Structure (CIF):
```
data_Ba4HBr2N
_chemical_formula_sum 'Ba4 H1 Br2 N1'
_symmetry_space_group_name_H-M 'P 1 2/m 1'
_symmetry_Int_Tables_number 10
_symmetry_space_group_name_Hall '-P 2y'
_cell_length_a 7.3408
_cell_length_b 4.2939
_cell_length_c 8.1851
_cell_angle_alpha 90.00
_cell_angle_beta 105.70
_cell_angle_gamma 90.00
loop_
_atom_site_label
_atom_site_fract_x
_atom_site_fract_y
_atom_site_fract_z
Ba1 0.2246 0.0000 0.1875
Ba2 0.2385 0.5000 0.7986
H1 0.5000 0.0000 0.0000
Br1 0.0000 0.0000 0.5000
Br2 0.5000 0.5000 0.5000
N1 0.0000 0.5000 0.0000
```

(6)
An optimized crystal structure of Pr6Ni2AsI3. Source: Alexandria via LeMat-Bulk, functional PBE-GGA.

Output
The value obtained for the density of states at the Fermi level is 0.96 states/eV per atom. Its uncorrected energy is -119.43 eV for the cell shown. The value obtained for the volume is 31.22 Å³/atom. The formation energy (no corrections) is -847.9 meV per atom.

Structure (CIF):
```
data_Pr6Ni2AsI3
_chemical_formula_sum 'Pr12 Ni4 As2 I6'
_symmetry_space_group_name_H-M 'C 1 2/m 1'
_symmetry_Int_Tables_number 12
_symmetry_space_group_name_Hall '-C 2y'
_cell_length_a 7.4065
_cell_length_b 12.7901
_cell_length_c 8.2856
_cell_angle_alpha 90.00
_cell_angle_beta 107.31
_cell_angle_gamma 90.00
loop_
_atom_site_label
_atom_site_fract_x
_atom_site_fract_y
_atom_site_fract_z
Pr1 0.2117 0.0000 0.1884
Pr2 0.2392 0.3246 0.1892
Ni1 0.0000 0.1670 0.0000
As1 0.0000 0.5000 0.0000
I1 0.0000 0.0000 0.5000
I2 0.0000 0.3384 0.5000
```